The following is a PBE calculation of a geometry-optimized ZrMo3Pb structure, from Alexandria via LeMat-Bulk.

Cell lengths 4.879, 4.879, 4.879 Å; angles 90.00, 90.00, 90.00 degrees
Space group Pm-3m (No. 221)
One atom of each set of equivalent atoms:
Zr 0.000 0.000 0.000 x1
Mo 0.000 0.000 0.500 x3
Pb 0.500 0.500 0.500 x1

- Crystal system: cubic
- Polymorph energy (0 for the lowest one): 0.0000 eV per atom


The following is a PBE calculation of a geometry-optimized ZrMoPb2 structure, from Alexandria via LeMat-Bulk.

Cell lengths 3.3096, 3.3096, 28.3298 Å; angles 90.00, 90.00, 120.00 degrees
Space group R-3m (No. 166, hexagonal axes)
One atom of each set of equivalent atoms:
Zr 0.0000 0.0000 0.0000 x3
Mo 0.0000 0.0000 0.5000 x3
Pb 0.0000 0.0000 0.2436 x6

- Crystal system: trigonal
- Polymorph energy (0 for the lowest one): 0.2162 eV per atom


The following is a PBE calculation of a geometry-optimized Zr2MoPb structure, from Alexandria via LeMat-Bulk.

Cell lengths 7.872, 7.872, 5.873 Å; angles 90.00, 90.00, 90.00 degrees
Space group I-42d (No. 122)
One atom of each set of equivalent atoms:
Zr 0.206 0.250 0.125 x8
Mo 0.000 0.000 0.000 x4
Pb 0.000 0.000 0.500 x4

- Crystal system: tetragonal
- Final energy: -119.22 eV per cell


The following is a PBE calculation of a geometry-optimized Zr2Mo2Pb structure, from Alexandria via LeMat-Bulk.

Cell lengths 7.734, 7.734, 3.513 Å; angles 90.00, 90.00, 90.00 degrees
Space group P4/mbm (No. 127)
One atom of each set of equivalent atoms:
Zr 0.189 0.311 0.000 x4
Mo 0.105 0.605 0.500 x4
Pb 0.000 0.000 0.500 x2

- Crystal system: tetragonal
- Final energy: -83.41 eV per cell